A geometry-optimized Sm7Dy12Tl structure, computed with GGA-PBE.

The structure in POSCAR format:
```
Sm7Dy12Tl
1.0
8.492 1.664 -1.304
-1.735 8.478 -1.304
1.108 1.664 8.520
Sm Dy Tl
7 12 1
Direct
0.765 0.215 0.623 Sm
0.215 0.623 0.765 Sm
0.785 0.377 0.235 Sm
0.500 0.500 0.500 Sm
0.377 0.235 0.785 Sm
0.623 0.765 0.215 Sm
0.235 0.785 0.377 Sm
0.123 0.341 0.464 Dy
0.877 0.659 0.536 Dy
0.113 0.995 0.665 Dy
0.341 0.464 0.123 Dy
0.995 0.665 0.113 Dy
0.464 0.123 0.341 Dy
0.665 0.113 0.995 Dy
0.536 0.877 0.659 Dy
0.335 0.887 0.005 Dy
0.005 0.335 0.887 Dy
0.887 0.005 0.335 Dy
0.659 0.536 0.877 Dy
0.000 0.000 0.000 Tl
```

## Properties
Total magnetization, μB per atom: 0.00
Crystal system: trigonal
Electronic total energy, eV/atom: -4.351
ρ, Mg/m³: 7.9
Space group: R-3 (148)
Energy of formation from the pure elements, eV/f.u.: 3.60